Pr2SmF11 | PBE | optimized geometry

Calculated values
- M_tot: 0.15 μB/atom
- Total DFT energy (no corrections): -5.88 eV per atom
- Formation energy (no corrections): -47.463 eV per formula unit

Cell lengths 8.798, 9.002, 9.002 Å; angles 71.90, 60.75, 60.75 degrees
Atoms (fractional coordinates):
Pr (0.664, 0.691, 0.309)
Pr (0.336, 0.309, 0.691)
Pr (0.836, 0.191, 0.809)
Pr (0.164, 0.809, 0.191)
Sm (0.750, 0.750, 0.750)
Sm (0.250, 0.250, 0.250)
F (0.670, 0.706, 0.559)
F (0.330, 0.294, 0.441)
F (0.065, 0.559, 0.706)
F (0.830, 0.941, 0.794)
F (0.935, 0.441, 0.294)
F (0.170, 0.059, 0.206)
F (0.435, 0.794, 0.941)
F (0.565, 0.206, 0.059)
F (0.500, 0.500, 0.500)
F (0.000, 0.000, 0.000)
F (0.894, 0.813, 0.187)
F (0.106, 0.187, 0.813)
F (0.606, 0.313, 0.687)
F (0.394, 0.687, 0.313)
F (0.455, 0.976, 0.317)
F (0.545, 0.024, 0.683)
F (0.252, 0.317, 0.976)
F (0.045, 0.183, 0.524)
F (0.748, 0.683, 0.024)
F (0.955, 0.817, 0.476)
F (0.248, 0.524, 0.183)
F (0.752, 0.476, 0.817)

NiBIr | PBE | optimized geometry

Calculated values
- ΔH_f (0 K): 0.09 eV per atom
- M_tot: 0.25 μB/atom
- Total DFT energy (no corrections): -7.01 eV per atom

Cell lengths 2.911, 3.667, 3.667 Å; angles 120.00, 90.00, 90.00 degrees
Atoms (fractional coordinates):
Ni (0.000, 0.000, 0.000)
B (0.499, 0.667, 0.333)
Ir (0.500, 0.333, 0.667)

LaTmGe2Rh5 | PBE | optimized geometry

Calculated values
- ΔH_f (0 K): -0.69 eV per atom
- M_tot: 0.00 μB/atom
- Total DFT energy (no corrections): -6.84 eV per atom

Cell lengths 4.218, 4.218, 9.004 Å; angles 90.00, 90.00, 90.00 degrees
Atoms (fractional coordinates):
La (0.000, 0.000, 0.500)
Tm (0.000, 0.000, 0.000)
Ge (0.500, 0.500, 0.138)
Ge (0.500, 0.500, 0.862)
Rh (0.000, 0.500, 0.263)
Rh (0.500, 0.000, 0.263)
Rh (0.000, 0.500, 0.737)
Rh (0.500, 0.000, 0.737)
Rh (0.500, 0.500, 0.500)

Cs3Na2CeI8 | PBE | optimized geometry

Calculated values
- M_tot: 0.07 μB/atom
- Total DFT energy (no corrections): -3.04 eV per atom
- Formation energy (no corrections): -18.993 eV per formula unit

Cell lengths 8.718, 8.718, 11.536 Å; angles 90.00, 90.00, 120.00 degrees
Atoms (fractional coordinates):
Cs (0.333, 0.667, 0.613)
Cs (0.667, 0.333, 0.387)
Cs (0.000, 0.000, 0.000)
Na (0.333, 0.667, 0.179)
Na (0.667, 0.333, 0.821)
Ce (0.000, 0.000, 0.500)
I (0.333, 0.667, 0.928)
I (0.667, 0.333, 0.072)
I (0.165, 0.835, 0.336)
I (0.835, 0.165, 0.664)
I (0.165, 0.330, 0.336)
I (0.835, 0.670, 0.664)
I (0.670, 0.835, 0.336)
I (0.330, 0.165, 0.664)

Li2CePaN4 | PBE | optimized geometry

Calculated values
- M_tot: 0.00 μB/atom
- Total DFT energy (no corrections): -7.57 eV per atom
- Formation energy (no corrections): -8.016 eV per formula unit

Cell lengths 3.564, 6.092, 5.360 Å; angles 111.34, 90.00, 90.00 degrees
Atoms (fractional coordinates):
Li (0.500, 0.000, 0.500)
Li (0.000, 0.500, 0.500)
Ce (0.500, 0.500, 0.000)
Pa (0.000, 0.000, 0.000)
N (0.500, 0.233, 0.225)
N (0.500, 0.767, 0.775)
N (0.000, 0.245, 0.783)
N (0.000, 0.755, 0.217)

CsMnSe2Br | PBE | optimized geometry

Calculated values
- Energy above the most stable polymorph in this dataset: 0 meV per atom
- M_tot: 0.71 μB/atom
- Total DFT energy (no corrections): -4.38 eV per atom
- Formation energy (no corrections): -3.217 eV per formula unit

Cell lengths 4.978, 4.978, 5.765 Å; angles 90.00, 90.00, 90.00 degrees
Atoms (fractional coordinates):
Cs (0.500, 0.500, 0.500)
Mn (0.000, 0.000, 0.000)
Se (0.000, 0.500, 0.000)
Se (0.500, 0.000, 0.000)
Br (0.000, 0.000, 0.500)